1.
Material: PRuCl
Method: DFT, PBE-GGA
State: relaxed

The space group is I4mm (No. 107) and the conventional cell measures 2.9719, 2.9719 and 11.9300 Å, with angles of 90.00, 90.00 and 90.00 degrees. Symmetry generates all atoms from P at (0.0000, 0.0000, 0.0000), Ru at (0.0000, 0.0000, 0.3984) and Cl at (0.0000, 0.0000, 0.7471).

The formation energy (no corrections) is 0.056 eV per atom.

=====

2.
Material: Mn2NiH2
Method: DFT, PBE-GGA
State: relaxed

The space group is P4/mbm (No. 127) and the conventional cell measures 6.1285, 6.1285 and 2.4919 Å, with angles of 90.00, 90.00 and 90.00 degrees. Symmetry generates all atoms from Mn at (0.1417, 0.3583, 0.0000), Ni at (0.0000, 0.0000, 0.0000) and H at (0.1100, 0.6100, 0.5000).

Its total energy is -5.632 eV per atom.

=====

3.
Material: Ho4SiTe2S
Method: DFT, PBE-GGA
State: relaxed

The space group is P2/m (No. 10) and the conventional cell measures 7.1082, 4.1323 and 7.4264 Å, with angles of 90.00, 108.91 and 90.00 degrees. Symmetry generates all atoms from Ho at (0.2361, 0.0000, 0.2144), Ho at (0.2601, 0.5000, 0.7892), Si at (0.0000, 0.5000, 0.0000), Te at (0.0000, 0.0000, 0.5000), Te at (0.5000, 0.5000, 0.5000) and S at (0.5000, 0.0000, 0.0000).

The formation energy (no corrections) is -1.395 eV per atom.

=====

4.
Material: SrZr2NbIr
Method: DFT, PBE-GGA
State: relaxed

The space group is P4/mmm (No. 123) and the conventional cell measures 5.1788, 5.1788 and 4.9448 Å, with angles of 90.00, 90.00 and 90.00 degrees. Symmetry generates all atoms from Sr at (0.0000, 0.0000, 0.0000), Zr at (0.0000, 0.5000, 0.5000), Nb at (0.5000, 0.5000, 0.5000) and Ir at (0.5000, 0.5000, 0.0000).

The calculation puts the energy of formation at 0.560 eV per atom.

=====

5.
Material: AlCrRh2
Method: DFT, PBE-GGA
State: relaxed

The space group is R3m (No. 160, hexagonal axes) and the conventional cell measures 2.7325, 2.7325 and 25.4068 Å, with angles of 90.00, 90.00 and 120.00 degrees. Symmetry generates all atoms from Al at (0.0000, 0.0000, 0.0000), Cr at (0.0000, 0.0000, 0.2498), Rh at (0.0000, 0.0000, 0.5067) and Rh at (0.0000, 0.0000, 0.7465).

The calculation puts the energy of formation at -0.193 eV per atom.

=====

6.
Material: CsHgO2
Method: DFT, PBE-GGA
State: relaxed

The space group is Pmmm (No. 47) and the conventional cell measures 3.3689, 4.1503 and 6.4373 Å, with angles of 90.00, 90.00 and 90.00 degrees. Symmetry generates all atoms from Cs at (0.0000, 0.0000, 0.0000), Hg at (0.0000, 0.5000, 0.5000) and O at (0.5000, 0.5000, 0.2840).

The formation energy (no corrections) is -0.560 eV per atom.

=====

What did we get for M_tot? Answer: 0.0 13.5 0.0 0.0 0.6 0.5 Bohr magnetons per cell, in the order shown.